1.
{"formula": "Cs5US5", "functional": "PBE-GGA", "state": "optimized geometry", "lattice": [[7.9191, -3.1339, 0.0000], [7.9191, 3.1339, 0.0000], [-3.3497, 0.0000, 8.7408]], "species": ["Cs", "Cs", "Cs", "Cs", "Cs", "U", "S", "S", "S", "S", "S"], "frac_coords": [[0.0000, 0.0000, 0.0000], [0.3011, 0.3011, 0.2048], [0.3327, 0.3327, 0.6742], [0.6673, 0.6673, 0.3258], [0.6989, 0.6989, 0.7952], [0.0000, 0.0000, 0.5000], [0.1240, 0.1240, 0.7730], [0.1250, 0.1250, 0.3822], [0.5000, 0.5000, 0.5000], [0.8750, 0.8750, 0.6178], [0.8760, 0.8760, 0.2270]], "space_group": "C2/m, No. 12", "raw_formation_energy_kj_per_mol_fu": -1250, "m_tot_mub_per_cell": 1.0}

---

2.
{"formula": "Cs2U2S7", "functional": "PBE-GGA", "state": "optimized geometry", "lattice": [[4.4296, -8.3554, 0.0000], [4.4296, 8.3554, 0.0000], [-1.5563, 0.0000, 5.0191]], "species": ["Cs", "Cs", "U", "U", "S", "S", "S", "S", "S", "S", "S"], "frac_coords": [[0.1785, 0.8215, 0.0000], [0.8215, 0.1785, 0.0000], [0.3077, 0.3077, 0.6550], [0.6923, 0.6923, 0.3450], [0.0000, 0.0000, 0.5000], [0.1570, 0.4423, 0.6523], [0.3694, 0.3694, 0.1856], [0.4423, 0.1570, 0.6523], [0.5577, 0.8430, 0.3477], [0.6306, 0.6306, 0.8144], [0.8430, 0.5577, 0.3477]], "space_group": "C2/m, No. 12", "raw_formation_energy_kj_per_mol_fu": -1222, "m_tot_mub_per_cell": 0.0}

---

3.
{"formula": "CsUS2", "functional": "PBE-GGA", "state": "optimized geometry", "lattice": [[3.5364, 0.0000, 0.0000], [0.0000, 3.5364, 0.0000], [0.0000, 0.0000, 8.1709]], "species": ["Cs", "U", "S", "S"], "frac_coords": [[0.0000, 0.0000, 0.0000], [0.0000, 0.0000, 0.5000], [0.5000, 0.5000, 0.3111], [0.5000, 0.5000, 0.6889]], "space_group": "P4/mmm, No. 123", "raw_formation_energy_kj_per_mol_fu": -455, "m_tot_mub_per_cell": 2.8}